# 1
Entry from Alexandria via LeMat-Bulk: Fe2NiW at its PBEsol-relaxed geometry (SCAN).

Cell lengths 3.606, 3.606, 7.149 Å; angles 90.00, 90.00, 90.00 degrees
Space group I4/mmm (No. 139)
Inequivalent atoms, fractional coordinates:
Fe 0.000 0.500 0.250 (multiplicity 4)
Ni 0.000 0.000 0.000 (multiplicity 2)
W 0.000 0.000 0.500 (multiplicity 2)

Properties
ΔE to the lowest computed polymorph ... 0.043 eV per atom
Magnetic moment ... 6.8 Bohr magnetons per cell
DFT formation energy ... 41 kJ/mol of formula units
ρ ... 12.659 g cm⁻³



# 2
Entry from Alexandria via LeMat-Bulk: Fe4NiW at its PBEsol-relaxed geometry (SCAN).

Cell lengths 6.474, 6.474, 6.474 Å; angles 90.00, 90.00, 90.00 degrees
Space group F-43m (No. 216)
Inequivalent atoms, fractional coordinates:
Fe 0.124 0.124 0.376 (multiplicity 16)
Ni 0.250 0.250 0.750 (multiplicity 4)
W 0.000 0.000 0.000 (multiplicity 4)

Properties
Magnetic moment ... 26.9 Bohr magnetons per cell
DFT formation energy ... 72 kJ/mol of formula units
ρ ... 11.403 g cm⁻³



# 3
Entry from Alexandria via LeMat-Bulk: FeNi6W at its PBEsol-relaxed geometry (SCAN).

Cell lengths 7.080, 10.013, 10.023 Å; angles 90.00, 90.00, 90.00 degrees
Space group Cmmm (No. 65)
Inequivalent atoms, fractional coordinates:
Fe 0.000 0.000 0.244 (multiplicity 4)
Fe 0.000 0.252 0.000 (multiplicity 4)
Ni 0.000 0.000 0.000 (multiplicity 2)
Ni 0.000 0.000 0.500 (multiplicity 2)
Ni 0.000 0.249 0.249 (multiplicity 8)
Ni 0.000 0.500 0.000 (multiplicity 2)
Ni 0.000 0.500 0.500 (multiplicity 2)
Ni 0.249 0.124 0.374 (multiplicity 16)
Ni 0.249 0.125 0.124 (multiplicity 16)
W 0.000 0.253 0.500 (multiplicity 4)
W 0.000 0.500 0.244 (multiplicity 4)

Properties
Magnetic moment ... 41.9 Bohr magnetons per cell
DFT formation energy ... -15 kJ/mol of formula units
ρ ... 11.066 g cm⁻³



# 4
Entry from Alexandria via LeMat-Bulk: YFeNi at its PBEsol-relaxed geometry (SCAN).

Cell lengths 3.8759, 3.8759, 3.9168 Å; angles 90.00, 90.00, 120.00 degrees
Space group P-6m2 (No. 187)
Inequivalent atoms, fractional coordinates:
Y 0.0000 0.0000 0.0000 (multiplicity 1)
Fe 0.3333 0.6667 0.5000 (multiplicity 1)
Ni 0.6667 0.3333 0.5000 (multiplicity 1)

Properties
Magnetic moment ... 2.6 Bohr magnetons per cell
DFT formation energy ... -46 kJ/mol of formula units
ρ ... 6.630 g cm⁻³



# 5
Entry from Alexandria via LeMat-Bulk: YFeNi2 at its PBEsol-relaxed geometry (SCAN).

Cell lengths 3.9824, 3.9824, 13.6670 Å; angles 90.00, 90.00, 120.00 degrees
Space group R-3m (No. 166, hexagonal axes)
Inequivalent atoms, fractional coordinates:
Y 0.0000 0.0000 0.0000 (multiplicity 3)
Fe 0.0000 0.0000 0.5000 (multiplicity 3)
Ni 0.0000 0.0000 0.1993 (multiplicity 6)

Properties
Magnetic moment ... 9.6 Bohr magnetons per cell
DFT formation energy ... -110 kJ/mol of formula units
ρ ... 6.957 g cm⁻³



# 6
Entry from Alexandria via LeMat-Bulk: YFeNi2 at its PBEsol-relaxed geometry (SCAN).

Cell lengths 6.076, 6.076, 6.076 Å; angles 90.00, 90.00, 90.00 degrees
Space group F-43m (No. 216)
Inequivalent atoms, fractional coordinates:
Y 0.000 0.000 0.000 (multiplicity 4)
Fe 0.250 0.250 0.250 (multiplicity 4)
Ni 0.000 0.000 0.500 (multiplicity 4)
Ni 0.250 0.250 0.750 (multiplicity 4)

Properties
Magnetic moment ... 12.2 Bohr magnetons per cell
DFT formation energy ... 44 kJ/mol of formula units
ρ ... 7.764 g cm⁻³



# 7
Entry from Alexandria via LeMat-Bulk: YFeNi2 at its PBEsol-relaxed geometry (SCAN).

Cell lengths 3.070, 3.070, 6.112 Å; angles 90.00, 90.00, 90.00 degrees
Space group P4mm (No. 99)
Inequivalent atoms, fractional coordinates:
Y 0.000 0.000 0.000 (multiplicity 1)
Fe 0.500 0.500 0.325 (multiplicity 1)
Ni 0.000 0.000 0.501 (multiplicity 1)
Ni 0.500 0.500 0.708 (multiplicity 1)

Properties
Magnetic moment ... 3.2 Bohr magnetons per cell
DFT formation energy ... 30 kJ/mol of formula units
ρ ... 7.558 g cm⁻³



# 8
Entry from Alexandria via LeMat-Bulk: YFeNi at its PBEsol-relaxed geometry (SCAN).

Cell lengths 5.959, 5.959, 5.959 Å; angles 90.00, 90.00, 90.00 degrees
Space group F-43m (No. 216)
Inequivalent atoms, fractional coordinates:
Y 0.000 0.000 0.000 (multiplicity 4)
Fe 0.250 0.250 0.750 (multiplicity 4)
Ni 0.000 0.000 0.500 (multiplicity 4)

Properties
Magnetic moment ... 10.8 Bohr magnetons per cell
DFT formation energy ... 117 kJ/mol of formula units
ρ ... 6.388 g cm⁻³